No. 1
Density functional theory data (GGA-PBE) for a geometry-optimized PmThSbAu structure.

Cell lengths 5.3508, 5.3508, 5.3508 Å; angles 60.00, 60.00, 60.00 degrees
With the nearest neighbours (Å) after each atom.
Element x y z (fractional)
Sb 0.5000 0.5000 0.5000  4 Pm 3.28, 4 Th 3.28
Au 0.0000 0.0000 0.0000  4 Th 3.28, 4 Pm 3.28
Th 0.7500 0.7500 0.7500  4 Au 3.28, 4 Sb 3.28
Pm 0.2500 0.2500 0.2500  4 Sb 3.28, 4 Au 3.28

Computed properties:
DFT total energy   -5.57 eV/atom
SG   F-43m (216)
DOS at the Fermi energy   4.2 states/eV/cell

***

No. 2
Density functional theory data (GGA-PBE) for a geometry-optimized PmTmSbAu structure.

Cell lengths 5.2522, 5.2522, 5.2522 Å; angles 60.00, 60.00, 60.00 degrees
With the nearest neighbours (Å) after each atom.
Element x y z (fractional)
Sb 0.5000 0.5000 0.5000  4 Pm 3.22, 4 Tm 3.22
Tm 0.2500 0.2500 0.2500  4 Sb 3.22, 4 Au 3.22
Au 0.0000 0.0000 0.0000  4 Pm 3.22, 4 Tm 3.22
Pm 0.7500 0.7500 0.7500  4 Sb 3.22, 4 Au 3.22

Computed properties:
DFT total energy   -4.90 eV/atom
SG   F-43m (216)
DOS at the Fermi energy   4.1 states/eV/cell

***

No. 3
Density functional theory data (GGA-PBE) for a geometry-optimized PmUSbAu structure.

Cell lengths 5.2887, 5.2887, 5.2887 Å; angles 60.00, 60.00, 60.00 degrees
With the nearest neighbours (Å) after each atom.
Element x y z (fractional)
Au 0.0000 0.0000 0.0000  4 Pm 3.24, 4 U 3.24
U 0.2500 0.2500 0.2500  4 Au 3.24, 4 Sb 3.24
Sb 0.5000 0.5000 0.5000  4 U 3.24, 4 Pm 3.24
Pm 0.7500 0.7500 0.7500  4 Au 3.24, 4 Sb 3.24

Computed properties:
DFT total energy   -6.24 eV/atom
SG   F-43m (216)
DOS at the Fermi energy   6.4 states/eV/cell

***

No. 4
Density functional theory data (GGA-PBE) for a geometry-optimized Pm3ScAu3 structure.

Cell lengths 7.2057, 7.2057, 7.2201 Å; angles 91.06, 91.06, 94.75 degrees
With the nearest neighbours (Å) after each atom.
Element x y z (fractional)
Pm 0.6679 0.6679 0.4037  5 Au 3.13-3.38
Pm 0.1817 0.8183 0.5000  6 Au 2.96-3.09
Pm 0.8183 0.1817 0.5000  6 Au 2.96-3.09
Pm 0.2694 0.7306 0.0000  6 Au 3.11-3.24
Pm 0.7306 0.2694 0.0000  6 Au 3.11-3.24
Pm 0.3321 0.3321 0.5963  5 Au 3.13-3.38
Sc 0.7545 0.7545 0.8996  3 Au 2.72-2.73
Sc 0.2455 0.2455 0.1004  3 Au 2.72-2.73
Au 0.9414 0.9414 0.1870  2 Sc 2.73-3.05, 1 Au 2.96, 2 Pm 3.01
Au 0.9642 0.5127 0.7222  1 Sc 2.72, 1 Pm 2.96
Au 0.5127 0.9642 0.7222  1 Sc 2.72, 1 Pm 2.96
Au 0.0358 0.4873 0.2778  1 Sc 2.72, 1 Pm 2.96
Au 0.4873 0.0358 0.2778  1 Sc 2.72, 1 Pm 2.96
Au 0.0586 0.0586 0.8130  2 Sc 2.73-3.05, 1 Au 2.96, 2 Pm 3.01

Computed properties:
DFT total energy   -4.94 eV/atom
SG   C2/m (12)
DOS at the Fermi energy   11.9 states/eV/cell

***

No. 5
Density functional theory data (GGA-PBE) for a geometry-optimized PmScAu structure.

Cell lengths 4.6464, 4.6464, 7.1300 Å; angles 90.00, 90.00, 90.00 degrees
With the nearest neighbours (Å) after each atom.
Element x y z (fractional)
Pm 0.0000 0.5000 0.8714  1 Au 2.91
Pm 0.5000 0.0000 0.1286  1 Au 2.91
Au 0.0000 0.5000 0.2791  4 Sc 2.81, 1 Pm 2.91
Au 0.5000 0.0000 0.7209  4 Sc 2.81, 1 Pm 2.91
Sc 0.5000 0.5000 0.5000  4 Au 2.81
Sc 0.0000 0.0000 0.5000  4 Au 2.81

Computed properties:
SG   P4/nmm (129)
DOS at the Fermi energy   8.2 states/eV/cell
Polymorph energy (0 for the lowest one)   0.00 eV/f.u.

***

No. 6
Density functional theory data (GGA-PBE) for a geometry-optimized PmScAu2 structure.

Cell lengths 3.4969, 3.4969, 7.2714 Å; angles 90.00, 90.00, 90.00 degrees
With the nearest neighbours (Å) after each atom.
Element x y z (fractional)
Sc 0.5000 0.5000 0.0000  8 Au 2.92
Au 0.0000 0.0000 0.7852  4 Sc 2.92, 1 Au 3.12, 4 Pm 3.23
Au 0.0000 0.0000 0.2148  4 Sc 2.92, 1 Au 3.12, 4 Pm 3.23
Pm 0.5000 0.5000 0.5000  8 Au 3.23, 4 Pm 3.50

Computed properties:
SG   P4/mmm (123)
DOS at the Fermi energy   2.7 states/eV/cell
Polymorph energy (0 for the lowest one)   0.00 eV/f.u.